1.
Crystalline KUTl2Br8 at its relaxed geometry, computed with PBE.

Results
Total magnetization = 0.94 μB per cell
Raw formation energy = -1.1867 eV per atom
Electronic total energy = -0.274 Ry/atom

Unit cell a=7.372 b=7.511 c=9.677 alpha=89.95 beta=89.94 gamma=88.46
Space group P-1 (No. 2)
Inequivalent atoms, fractional coordinates:
K: 0.000 0.000 0.000 x1
U: 0.000 0.000 0.500 x1
Tl: 0.500 0.500 0.232 x2
Br: 0.188 0.689 0.501 x2
Br: 0.223 0.125 0.301 x2
Br: 0.223 0.126 0.699 x2
Br: 0.271 0.660 0.000 x2

---

2.
Crystalline KUTl2Br6 at its relaxed geometry, computed with PBE.

Results
Total magnetization = 9.00 μB per cell
Raw formation energy = -1.2192 eV per atom
Electronic total energy = -0.289 Ry/atom

Unit cell a=8.2166 b=8.2166 c=21.1816 alpha=90.00 beta=90.00 gamma=120.00
Space group R3 (No. 146, hexagonal axes)
Inequivalent atoms, fractional coordinates:
K: 0.0000 0.0000 0.0000 x3
U: 0.0000 0.0000 0.4929 x3
Tl: 0.0000 0.0000 0.2877 x3
Tl: 0.0000 0.0000 0.7947 x3
Br: 0.0099 0.3937 0.2320 x9
Br: 0.0677 0.6880 0.0726 x9

---

The lowest electronic total energy belongs to which entry? KUTl2Br6

---

Number 1 is which compound? KUTl2Br8

---

What is the total magnetization in the second record? 9.00 μB per cell